Compound: Zr2TaCd
Source: Alexandria via LeMat-Bulk
Functional: PBE-GGA
Structure: optimized geometry

Its formation energy is -0.01 eV/atom. The value obtained for the density is 9.24 g/cm³.

The structure belongs to space group Pmmm (No. 47); the cell edges are 3.173, 3.764 and 7.156 Å and the angles 90.00°, 90.00° and 90.00°. Symmetry generates all atoms from Zr at (0.000, 0.000, 0.237), Ta at (0.500, 0.500, 0.000) and Cd at (0.500, 0.500, 0.500).